The following is a DFT calculation (GGA-PBE) of a geometry-optimized TlIrNO structure.

Properties
As for the space-group type: No. 129.

The structure in POSCAR format:
```
TlIrNO
1.0
-3.166 -3.144 0.079
3.144 -3.159 0.235
-0.145 0.293 5.873
Ir N O Tl
2 2 2 2
Direct
0.500 0.000 0.000
0.000 0.500 0.000
0.500 0.000 0.314
0.000 0.500 0.686
0.000 0.000 0.000
0.500 0.500 0.000
0.000 0.000 0.500
0.500 0.500 0.500
```



The following is a DFT calculation (GGA-PBE) of a geometry-optimized TlIrNO structure.

Properties
As for the space-group type: No. 129.

The structure in POSCAR format:
```
TlIrNO
1.0
-3.718 -1.148 1.756
-1.646 -0.620 -3.890
2.341 -7.317 0.175
Ir N O Tl
2 2 2 2
Direct
0.750 0.750 0.063
0.250 0.250 0.937
0.750 0.750 0.298
0.250 0.250 0.702
0.750 0.250 0.000
0.250 0.750 0.000
0.750 0.250 0.500
0.250 0.750 0.500
```



The following is a DFT calculation (GGA-PBE) of a geometry-optimized YIrNO structure.

Properties
As for the space-group type: No. 129.

The structure in POSCAR format:
```
YIrNO
1.0
4.922 0.000 0.000
0.000 4.922 0.000
0.000 0.000 4.283
Ir N O Y
2 2 2 2
Direct
0.250 0.250 0.004
0.750 0.750 0.996
0.750 0.750 0.496
0.250 0.250 0.504
0.750 0.250 0.000
0.250 0.750 0.000
0.750 0.250 0.500
0.250 0.750 0.500
```



The following is a DFT calculation (GGA-PBE) of a geometry-optimized YIrNO structure.

Properties
As for the space-group type: No. 129.

The structure in POSCAR format:
```
YIrNO
1.0
-2.649 -0.754 -4.067
-4.045 -0.536 2.734
-0.755 4.219 -0.290
Ir N O Y
2 2 2 2
Direct
0.000 0.500 0.003
0.500 0.000 0.997
0.500 0.000 0.496
0.000 0.500 0.504
0.000 0.000 0.000
0.500 0.500 0.000
0.000 0.000 0.500
0.500 0.500 0.500
```



The following is a DFT calculation (GGA-PBE) of a geometry-optimized YIrNO structure.

Properties
As for the space-group type: No. 26.

The structure in POSCAR format:
```
YIrNO
1.0
-2.078 2.688 1.671
-2.485 -3.486 2.518
3.740 0.321 4.135
Ir N O Y
2 2 2 2
Direct
0.500 0.999 0.358
0.500 0.499 0.642
0.000 0.984 0.334
0.000 0.484 0.666
0.500 0.272 0.071
0.500 0.772 0.929
0.000 0.499 0.213
0.000 0.999 0.787
```



The following is a DFT calculation (GGA-PBE) of a geometry-optimized YIrNO structure.

Properties
As for the space-group type: No. 26.

The structure in POSCAR format:
```
YIrNO
1.0
3.860 0.000 0.000
0.000 5.082 0.000
0.000 0.000 6.297
Ir N O Y
2 2 2 2
Direct
0.000 0.473 0.414
0.000 0.973 0.586
0.000 0.826 0.308
0.000 0.326 0.692
0.500 0.438 0.139
0.500 0.938 0.861
0.500 0.017 0.199
0.500 0.517 0.801
```



The following is a DFT calculation (GGA-PBE) of a geometry-optimized YIrNO structure.

Properties
As for the space-group type: No. 129.

The structure in POSCAR format:
```
YIrNO
1.0
-1.141 -1.751 3.334
1.192 -3.473 -1.416
6.603 1.108 2.841
Ir N O Y
2 2 2 2
Direct
0.000 0.000 0.500
0.500 0.500 0.500
0.500 0.000 0.391
0.000 0.500 0.609
0.000 0.000 0.000
0.500 0.500 0.000
0.000 0.500 0.148
0.500 0.000 0.852
```



The following is a DFT calculation (GGA-PBE) of a geometry-optimized YIrNO structure.

Properties
As for the space-group type: No. 29.

The structure in POSCAR format:
```
YIrNO
1.0
5.239 0.000 0.000
0.000 5.514 0.000
0.000 0.000 7.856
Ir N O Y
4 4 4 4
Direct
0.033 0.079 0.026
0.533 0.421 0.026
0.033 0.579 0.974
0.533 0.921 0.974
0.698 0.134 0.153
0.198 0.366 0.153
0.698 0.634 0.847
0.198 0.866 0.847
0.109 0.750 0.478
0.609 0.750 0.478
0.109 0.250 0.522
0.609 0.250 0.522
0.362 0.024 0.357
0.862 0.476 0.357
0.362 0.524 0.643
0.862 0.976 0.643
```



Calculated magnetic moment in order - 0.00, 0.11, 0.05, 0.04, 0.00, 0.00, 0.00, 0.00 μB per formula unit
Calculated total DFT energy (no corrections) in order - -5.374, -5.418, -7.916, -7.910, -8.305, -8.140, -8.332, -8.657 eV/atom